Entry 1:
## SrLi2Ca (PBEsol)

Data for crystalline SrLi2Ca at its relaxed geometry.

The structure belongs to space group Cm (No. 8); the cell edges are 12.784, 3.953 and 5.765 Å and the angles 90.00°, 113.07° and 90.00°. The asymmetric unit holds Sr at (0.000, 0.000, 0.000), Li at (0.049, 0.500, 0.543), Li at (0.236, 0.000, 0.761) and Ca at (0.289, 0.500, 0.312).

The volume comes out at 268.1 Å³ per cell. The energy comes out at -15.492 eV for the cell shown. As for the formation energy: 0.0403 eV per atom. The calculation puts the density of states at the Fermi level at 3.3 states/eV/f.u. For the energy above the most stable polymorph in this dataset, the calculation gives 16 meV per atom. For the magnetic moment, the calculation gives 0.00 μB per atom.

***

Entry 2:
## K2TaSb (PBEsol)

Data for crystalline K2TaSb at its relaxed geometry.

The structure belongs to space group Cmmm (No. 65); the cell edges are 3.839, 4.623 and 12.040 Å and the angles 90.00°, 90.00° and 90.00°. The asymmetric unit holds K at (0.000, 0.000, 0.236), Ta at (0.000, 0.500, 0.500) and Sb at (0.000, 0.500, 0.000).

The volume comes out at 213.7 Å³ per cell. The energy comes out at -32.844 eV for the cell shown. The calculation puts the density of states at the Fermi level at 2.7 states/eV/f.u. For the magnetic moment, the calculation gives 0.00 μB per atom.

***

Entry 3:
## BaMn4P (PBEsol)

Data for crystalline BaMn4P at its relaxed geometry.

The structure belongs to space group F-43m (No. 216); the cell edges are 7.291, 7.291 and 7.291 Å and the angles 90.00°, 90.00° and 90.00°. The asymmetric unit holds Ba at (0.000, 0.000, 0.000), Mn at (0.122, 0.122, 0.622) and P at (0.250, 0.250, 0.250).

The volume comes out at 387.5 Å³ per cell. The energy comes out at -167.894 eV for the cell shown. As for the formation energy: 0.8352 eV per atom. The calculation puts the density of states at the Fermi level at 8.8 states/eV/f.u. For the magnetic moment, the calculation gives 1.84 μB per atom.